Entry 1:
The following is a DFT calculation (PBE-GGA) of a relaxed structure of LiPr3Pu2Te6.

Cell: 10.0091 10.0091 8.9468 Å, 103.21 103.21 25.78°
With the nearest neighbours (Å) after each atom.
Positions (direct):
Li  0.0000  0.0000  0.0000  6 Te 3.06-3.09
Pr  0.0000  0.0000  0.5000  6 Te 3.20-3.24
Pr  0.3320  0.3320  0.1677  6 Te 3.19-3.24
Pr  0.6680  0.6680  0.8323  6 Te 3.19-3.24
Pu  0.3345  0.3345  0.6687  6 Te 3.13-3.15
Pu  0.6655  0.6655  0.3313  6 Te 3.13-3.15
Te  0.1611  0.1611  0.0838  1 Li 3.06, 2 Pu 3.13, 3 Pr 3.20-3.24
Te  0.1687  0.1687  0.5772  3 Pu 3.13-3.15, 3 Pr 3.20
Te  0.5002  0.5002  0.2382  2 Li 3.09, 1 Pu 3.14, 3 Pr 3.19-3.24
Te  0.4998  0.4998  0.7618  2 Li 3.09, 1 Pu 3.14, 3 Pr 3.19-3.24
Te  0.8313  0.8313  0.4228  3 Pu 3.13-3.15, 3 Pr 3.20
Te  0.8389  0.8389  0.9162  1 Li 3.06, 2 Pu 3.13, 3 Pr 3.20-3.24

Its density of states at the Fermi level is 26.6 states/eV/cell. The space group is C2/m. As for the uncorrected energy: -6.601 eV/atom. The value obtained for the formation energy from raw total energies is -124 kJ/mol of atoms.



Entry 2:
The following is a DFT calculation (PBE-GGA) of a relaxed structure of Li2PrPuTe4.

Cell: 7.5065 4.4554 7.7075 Å, 90.00 110.09 90.00°
With the nearest neighbours (Å) after each atom.
Positions (direct):
Li  0.0000  0.0000  0.0000  6 Te 3.05
Li  0.0000  0.5000  0.5000  6 Te 3.09-3.10
Pr  0.5000  0.0000  0.5000  6 Te 3.19
Pu  0.5000  0.5000  0.0000  6 Te 3.13-3.15
Te  0.2364  0.5000  0.2412  3 Li 3.05-3.09, 1 Pu 3.15, 2 Pr 3.19
Te  0.2417  0.0000  0.7530  3 Li 3.05-3.10, 2 Pu 3.13, 1 Pr 3.19
Te  0.7583  0.0000  0.2470  3 Li 3.05-3.10, 2 Pu 3.13, 1 Pr 3.19
Te  0.7636  0.5000  0.7588  3 Li 3.05-3.09, 1 Pu 3.15, 2 Pr 3.19

Its density of states at the Fermi level is 14.7 states/eV/cell. The space group is P2/m. As for the uncorrected energy: -5.581 eV/atom. The value obtained for the formation energy from raw total energies is -110 kJ/mol of atoms.



Entry 3:
The following is a DFT calculation (PBE-GGA) of a relaxed structure of LiPr2Pu3Te6.

Cell: 9.9801 9.9801 8.9394 Å, 102.71 102.71 25.80°
With the nearest neighbours (Å) after each atom.
Positions (direct):
Li  0.0000  0.0000  0.0000  6 Te 3.10-3.12
Pr  0.3344  0.3344  0.6650  6 Te 3.18-3.20
Pr  0.6656  0.6656  0.3350  6 Te 3.18-3.20
Pu  0.0000  0.0000  0.5000  6 Te 3.14-3.20
Pu  0.3313  0.3313  0.1634  6 Te 3.12-3.18
Pu  0.6687  0.6687  0.8366  6 Te 3.12-3.18
Te  0.1635  0.1635  0.0780  1 Li 3.10, 3 Pu 3.12-3.18, 2 Pr 3.19
Te  0.1654  0.1654  0.5901  3 Pu 3.12-3.14, 3 Pr 3.19-3.20
Te  0.4980  0.4980  0.2427  2 Li 3.12, 3 Pu 3.16-3.20, 1 Pr 3.18
Te  0.5020  0.5020  0.7573  2 Li 3.12, 3 Pu 3.16-3.20, 1 Pr 3.18
Te  0.8346  0.8346  0.4099  3 Pu 3.12-3.14, 3 Pr 3.19-3.20
Te  0.8365  0.8365  0.9220  1 Li 3.10, 3 Pu 3.12-3.18, 2 Pr 3.19

Its density of states at the Fermi level is 42.3 states/eV/cell. The space group is C2/m. As for the uncorrected energy: -7.307 eV/atom. The value obtained for the formation energy from raw total energies is -116 kJ/mol of atoms.



Entry 4:
The following is a DFT calculation (PBE-GGA) of a relaxed structure of LiPrPuTe3.

Cell: 9.0579 4.3444 9.6799 Å, 90.00 103.21 90.00°
With the nearest neighbours (Å) after each atom.
Positions (direct):
Li  0.0862  0.2500  0.0847  4 Te 2.76-2.79, 2 Li 2.94
Li  0.9138  0.7500  0.9153  4 Te 2.76-2.79, 2 Li 2.94
Pr  0.1859  0.2500  0.7331  7 Te 3.23-3.41
Pr  0.8141  0.7500  0.2669  7 Te 3.23-3.41
Pu  0.3299  0.7500  0.3385  6 Te 3.11-3.22
Pu  0.6701  0.2500  0.6615  6 Te 3.11-3.22
Te  0.0892  0.2500  0.3714  1 Li 2.77
Te  0.2295  0.7500  0.9975  3 Li 2.76-2.79
Te  0.4270  0.7500  0.6728  3 Pu 3.11-3.15, 2 Pr 3.23
Te  0.5730  0.2500  0.3272  3 Pu 3.11-3.15, 2 Pr 3.23
Te  0.7705  0.2500  0.0025  3 Li 2.76-2.79
Te  0.9108  0.7500  0.6286  1 Li 2.77

Its density of states at the Fermi level is 29.4 states/eV/cell. The space group is P2_1/m. As for the uncorrected energy: -6.262 eV/atom. The value obtained for the formation energy from raw total energies is -114 kJ/mol of atoms.



Entry 5:
The following is a DFT calculation (PBE-GGA) of a relaxed structure of LiPr3Pu3Te8.

Cell: 8.9382 8.9382 8.9382 Å, 59.90 59.90 59.90°
With the nearest neighbours (Å) after each atom.
Positions (direct):
Li  0.0000  0.0000  0.0000  6 Te 3.12
Pr  0.0000  0.0000  0.5000  6 Te 3.19
Pr  0.0000  0.5000  0.0000  6 Te 3.19
Pr  0.5000  0.0000  0.0000  6 Te 3.19
Pu  0.0000  0.5000  0.5000  6 Te 3.12-3.13
Pu  0.5000  0.0000  0.5000  6 Te 3.12-3.13
Pu  0.5000  0.5000  0.0000  6 Te 3.12-3.13
Te  0.2471  0.2471  0.7482  1 Li 3.12, 2 Pu 3.13, 2 Pr 3.19
Te  0.2471  0.7482  0.2471  1 Li 3.12, 2 Pu 3.13, 2 Pr 3.19
Te  0.2518  0.7529  0.7529  1 Li 3.12, 2 Pu 3.13, 2 Pr 3.19
Te  0.2528  0.2528  0.2528  3 Pu 3.12, 3 Pr 3.19
Te  0.7472  0.7472  0.7472  3 Pu 3.12, 3 Pr 3.19
Te  0.7482  0.2471  0.2471  1 Li 3.12, 2 Pu 3.13, 2 Pr 3.19
Te  0.7529  0.2518  0.7529  1 Li 3.12, 2 Pu 3.13, 2 Pr 3.19
Te  0.7529  0.7529  0.2518  1 Li 3.12, 2 Pu 3.13, 2 Pr 3.19

Its density of states at the Fermi level is 42.8 states/eV/cell. The space group is R-3m. As for the uncorrected energy: -6.841 eV/atom. The value obtained for the formation energy from raw total energies is -117 kJ/mol of atoms.



Entry 6:
The following is a DFT calculation (PBE-GGA) of a relaxed structure of LiPrPuTh.

Cell: 5.4111 5.4111 5.4111 Å, 60.00 60.00 60.00°
With the nearest neighbours (Å) after each atom.
Positions (direct):
Li  0.0000  0.0000  0.0000  4 Th 3.31, 4 Pr 3.31
Pr  0.2500  0.2500  0.2500  4 Li 3.31, 4 Pu 3.31
Pu  0.5000  0.5000  0.5000  4 Th 3.31, 4 Pr 3.31
Th  0.7500  0.7500  0.7500  4 Li 3.31, 4 Pu 3.31

Its density of states at the Fermi level is 16.0 states/eV/cell. For the formation energy, the calculation gives 0.2979 eV per atom. The space group is F-43m. As for the uncorrected energy: -6.813 eV/atom.



Entry 7:
The following is a DFT calculation (PBE-GGA) of a relaxed structure of LiPrPuTl.

Cell: 5.4210 5.4210 5.4210 Å, 60.00 60.00 60.00°
With the nearest neighbours (Å) after each atom.
Positions (direct):
Li  0.0000  0.0000  0.0000  4 Pr 3.32, 4 Pu 3.32
Pr  0.7500  0.7500  0.7500  4 Tl 3.32, 4 Li 3.32
Pu  0.2500  0.2500  0.2500  4 Tl 3.32, 4 Li 3.32
Tl  0.5000  0.5000  0.5000  4 Pu 3.32, 4 Pr 3.32

Its density of states at the Fermi level is 11.1 states/eV/cell. For the formation energy, the calculation gives 0.0341 eV per atom. The space group is F-43m. As for the uncorrected energy: -5.814 eV/atom.



Entry 8:
The following is a DFT calculation (PBE-GGA) of a relaxed structure of LiPrPuZn.

Cell: 5.2079 5.2079 5.2079 Å, 60.00 60.00 60.00°
With the nearest neighbours (Å) after each atom.
Positions (direct):
Li  0.0000  0.0000  0.0000  4 Pr 3.19, 4 Pu 3.19
Pr  0.7500  0.7500  0.7500  4 Li 3.19, 4 Zn 3.19
Pu  0.2500  0.2500  0.2500  4 Zn 3.19, 4 Li 3.19
Zn  0.5000  0.5000  0.5000  4 Pr 3.19, 4 Pu 3.19

Its density of states at the Fermi level is 9.8 states/eV/cell. For the formation energy, the calculation gives 0.0883 eV per atom. The space group is F-43m. As for the uncorrected energy: -5.487 eV/atom.



Entry 9:
The following is a DFT calculation (PBE-GGA) of a relaxed structure of RbLiPr2S4.

Cell: 7.3731 7.3731 14.4314 Å, 90.00 90.00 146.80°
With the nearest neighbours (Å) after each atom.
Positions (direct):
Rb  0.1053  0.8947  0.7500  6 S 3.37-3.50
Rb  0.8947  0.1053  0.2500  6 S 3.37-3.50
Li  0.1675  0.8325  0.2500  4 S 2.42-2.44
Li  0.8325  0.1675  0.7500  4 S 2.42-2.44
Pr  0.3661  0.6339  0.5600  6 S 2.84-2.96
Pr  0.3661  0.6339  0.9400  6 S 2.84-2.96
Pr  0.6339  0.3661  0.0600  6 S 2.84-2.96
Pr  0.6339  0.3661  0.4400  6 S 2.84-2.96
S  0.0000  0.0000  0.0000  4 Pr 2.96
S  0.0000  0.0000  0.5000  4 Pr 2.96
S  0.2593  0.7407  0.1085  1 Li 2.42
S  0.2593  0.7407  0.3915  1 Li 2.42
S  0.4191  0.5809  0.7500  2 Li 2.44
S  0.5809  0.4191  0.2500  2 Li 2.44
S  0.7407  0.2593  0.6085  1 Li 2.42
S  0.7407  0.2593  0.8915  1 Li 2.42

Its density of states at the Fermi level is 0.0 states/eV/cell. The space group is Cmcm. As for the uncorrected energy: -5.432 eV/atom. The value obtained for the formation energy from raw total energies is -175 kJ/mol of atoms.



Entry 10:
The following is a DFT calculation (PBE-GGA) of a relaxed structure of RbLiPr2Se4.

Cell: 7.6446 7.6446 15.0442 Å, 90.00 90.00 146.81°
With the nearest neighbours (Å) after each atom.
Positions (direct):
Rb  0.1069  0.8931  0.7500  6 Se 3.46-3.59
Rb  0.8931  0.1069  0.2500  6 Se 3.46-3.59
Li  0.1651  0.8349  0.2500  4 Se 2.54
Li  0.8349  0.1651  0.7500  4 Se 2.54
Pr  0.3660  0.6340  0.5607  6 Se 2.97-3.07
Pr  0.3660  0.6340  0.9393  6 Se 2.97-3.07
Pr  0.6340  0.3660  0.0607  6 Se 2.97-3.07
Pr  0.6340  0.3660  0.4393  6 Se 2.97-3.07
Se  0.0000  0.0000  0.0000  4 Pr 3.07
Se  0.0000  0.0000  0.5000  4 Pr 3.07
Se  0.2618  0.7382  0.1098  1 Li 2.54
Se  0.2618  0.7382  0.3902  1 Li 2.54
Se  0.4239  0.5761  0.7500  2 Li 2.54
Se  0.5761  0.4239  0.2500  2 Li 2.54
Se  0.7382  0.2618  0.6098  1 Li 2.54
Se  0.7382  0.2618  0.8902  1 Li 2.54

Its density of states at the Fermi level is 0.0 states/eV/cell. The space group is Cmcm. As for the uncorrected energy: -5.001 eV/atom. The value obtained for the formation energy from raw total energies is -164 kJ/mol of atoms.



Entry 11:
The following is a DFT calculation (PBE-GGA) of a relaxed structure of RbLiPr2Te4.

Cell: 8.1167 8.1167 16.1302 Å, 90.00 90.00 146.81°
With the nearest neighbours (Å) after each atom.
Positions (direct):
Rb  0.1101  0.8899  0.7500  6 Te 3.63-3.77
Rb  0.8899  0.1101  0.2500  6 Te 3.63-3.77
Li  0.1630  0.8370  0.2500  4 Te 2.73-2.75
Li  0.8370  0.1630  0.7500  4 Te 2.73-2.75
Pr  0.3663  0.6337  0.5622  6 Te 3.19-3.27
Pr  0.3663  0.6337  0.9378  6 Te 3.19-3.27
Pr  0.6337  0.3663  0.0622  6 Te 3.19-3.27
Pr  0.6337  0.3663  0.4378  6 Te 3.19-3.27
Te  0.0000  0.0000  0.0000  4 Pr 3.27
Te  0.0000  0.0000  0.5000  4 Pr 3.27
Te  0.2652  0.7348  0.1107  1 Li 2.75
Te  0.2652  0.7348  0.3893  1 Li 2.75
Te  0.4302  0.5698  0.7500  2 Li 2.73
Te  0.5698  0.4302  0.2500  2 Li 2.73
Te  0.7348  0.2652  0.6107  1 Li 2.75
Te  0.7348  0.2652  0.8893  1 Li 2.75

The space group is Cmcm. As for the uncorrected energy: -4.481 eV/atom. The value obtained for the formation energy from raw total energies is -131 kJ/mol of atoms.



Entry 12:
The following is a DFT calculation (PBE-GGA) of a relaxed structure of Li4PrRh2.

Cell: 8.0799 8.0799 4.0346 Å, 90.00 90.00 151.30°
With the nearest neighbours (Å) after each atom.
Positions (direct):
Li  0.1776  0.8224  0.0000  2 Rh 2.50
Li  0.3155  0.6845  0.5000  2 Rh 2.55, 4 Li 2.84
Li  0.6845  0.3155  0.5000  2 Rh 2.55, 4 Li 2.84
Li  0.8224  0.1776  0.0000  2 Rh 2.50
Pr  0.5000  0.5000  0.0000  8 Rh 3.13, 4 Li 3.43
Rh  0.0834  0.9166  0.5000  4 Li 2.50-2.55, 1 Rh 2.61
Rh  0.9166  0.0834  0.5000  4 Li 2.50-2.55, 1 Rh 2.61

Its density of states at the Fermi level is 3.1 states/eV/cell. For the formation energy, the calculation gives -0.2118 eV per atom. The space group is Cmmm. As for the uncorrected energy: -4.089 eV/atom.